# PBE La2H7Ru2, optimized geometry
# E (eV/atom): -4.97
data_La2H7Ru2
_symmetry_space_group_name_H-M 'C 1 2/m 1'
_symmetry_Int_Tables_number 12
_symmetry_space_group_name_Hall '-C 2y'
_cell_length_a 7.1298
_cell_length_b 6.4478
_cell_length_c 4.9108
_cell_angle_alpha 90.00
_cell_angle_beta 90.25
_cell_angle_gamma 90.00
loop_
_atom_site_label
_atom_site_type_symbol
_atom_site_fract_x
_atom_site_fract_y
_atom_site_fract_z
La1 La 0.0000 0.2331 0.0000
H1 H 0.0000 0.0000 0.5000
H2 H 0.0011 0.5000 0.6681
H3 H 0.2490 0.2488 0.6838
Ru1 Ru 0.2358 0.5000 0.5117



# PBE Ba3CdPb2O6, optimized geometry
# Energy relative to the elements, uncorrected (eV/atom): -1.77
data_Ba3CdPb2O6
_symmetry_space_group_name_H-M 'P -3 m 1'
_symmetry_Int_Tables_number 164
_symmetry_space_group_name_Hall '-P 3 2"'
_cell_length_a 6.3020
_cell_length_b 6.3020
_cell_length_c 7.0578
_cell_angle_alpha 90.00
_cell_angle_beta 90.00
_cell_angle_gamma 120.00
loop_
_atom_site_label
_atom_site_type_symbol
_atom_site_fract_x
_atom_site_fract_y
_atom_site_fract_z
Ba1 Ba 0.0000 0.0000 0.0000
Ba2 Ba 0.3333 0.6667 0.6066
Cd1 Cd 0.0000 0.0000 0.5000
Pb1 Pb 0.3333 0.6667 0.1249
O1 O 0.1703 0.3406 0.3009



# PBE KReTcHg2, optimized geometry
# E_form (meV/atom): 2120
data_KReTcHg2
_symmetry_space_group_name_H-M 'P 4/m m m'
_symmetry_Int_Tables_number 123
_symmetry_space_group_name_Hall '-P 4 2'
_cell_length_a 5.3362
_cell_length_b 5.3362
_cell_length_c 5.7819
_cell_angle_alpha 90.00
_cell_angle_beta 90.00
_cell_angle_gamma 90.00
loop_
_atom_site_label
_atom_site_type_symbol
_atom_site_fract_x
_atom_site_fract_y
_atom_site_fract_z
K1 K 0.0000 0.0000 0.0000
Re1 Re 0.5000 0.5000 0.0000
Tc1 Tc 0.0000 0.0000 0.5000
Hg1 Hg 0.0000 0.5000 0.5000



# PBE Cs2PaTe2Se2, optimized geometry
# Energy relative to the elements, uncorrected (eV/atom): -1.04
data_Cs2PaTe2Se2
_symmetry_space_group_name_H-M 'C 1 2/m 1'
_symmetry_Int_Tables_number 12
_symmetry_space_group_name_Hall '-C 2y'
_cell_length_a 18.1783
_cell_length_b 4.8079
_cell_length_c 7.4028
_cell_angle_alpha 90.00
_cell_angle_beta 113.84
_cell_angle_gamma 90.00
loop_
_atom_site_label
_atom_site_type_symbol
_atom_site_fract_x
_atom_site_fract_y
_atom_site_fract_z
Cs1 Cs 0.1752 0.0000 0.1757
Pa1 Pa 0.0000 0.0000 0.5000
Te1 Te 0.0046 0.5000 0.2400
Se1 Se 0.1590 0.0000 0.6622



# PBE YBeIn, optimized geometry
# E above lowest polymorph (meV per atom): 60.4
# E_form (meV/atom): -207
data_YBeIn
_symmetry_space_group_name_H-M 'C 1 m 1'
_symmetry_Int_Tables_number 8
_symmetry_space_group_name_Hall 'C -2y'
_cell_length_a 10.7514
_cell_length_b 4.3841
_cell_length_c 7.2935
_cell_angle_alpha 90.00
_cell_angle_beta 132.50
_cell_angle_gamma 90.00
loop_
_atom_site_label
_atom_site_type_symbol
_atom_site_fract_x
_atom_site_fract_y
_atom_site_fract_z
Y1 Y 0.0000 0.0000 0.0000
Y2 Y 0.0128 0.0000 0.5216
Be1 Be 0.1560 0.5000 0.9504
Be2 Be 0.3581 0.0000 0.6450
In1 In 0.1902 0.5000 0.4231
In2 In 0.3236 0.0000 0.0727



# PBE AcPr2Sm2Dy2, optimized geometry
# E_form (meV/atom): 34
data_AcPr2Sm2Dy2
_symmetry_space_group_name_H-M 'C 1 2/m 1'
_symmetry_Int_Tables_number 12
_symmetry_space_group_name_Hall '-C 2y'
_cell_length_a 11.6622
_cell_length_b 5.2131
_cell_length_c 8.2162
_cell_angle_alpha 90.00
_cell_angle_beta 98.19
_cell_angle_gamma 90.00
loop_
_atom_site_label
_atom_site_type_symbol
_atom_site_fract_x
_atom_site_fract_y
_atom_site_fract_z
Ac1 Ac 0.0000 0.0000 0.0000
Pr1 Pr 0.2146 0.5000 0.1517
Sm1 Sm 0.0739 0.5000 0.7065
Dy1 Dy 0.1421 0.0000 0.4334



# PBE BaPtPb2, optimized geometry
# E_form (meV/atom): -295
data_BaPtPb2
_symmetry_space_group_name_H-M 'I m m 2'
_symmetry_Int_Tables_number 44
_symmetry_space_group_name_Hall 'I 2 -2'
_cell_length_a 4.2353
_cell_length_b 5.1323
_cell_length_c 11.4762
_cell_angle_alpha 90.00
_cell_angle_beta 90.00
_cell_angle_gamma 90.00
loop_
_atom_site_label
_atom_site_type_symbol
_atom_site_fract_x
_atom_site_fract_y
_atom_site_fract_z
Ba1 Ba 0.0000 0.0000 0.0000
Pt1 Pt 0.0000 0.5000 0.2685
Pb1 Pb 0.0000 0.0000 0.6146
Pb2 Pb 0.0000 0.5000 0.7877



# PBE La4AlNi, optimized geometry
# E above lowest polymorph (meV per atom): 0.0
# E_form (meV/atom): -210
data_La4AlNi
_symmetry_space_group_name_H-M 'P 1 21/m 1'
_symmetry_Int_Tables_number 11
_symmetry_space_group_name_Hall '-P 2yb'
_cell_length_a 5.6917
_cell_length_b 7.2001
_cell_length_c 8.6262
_cell_angle_alpha 90.00
_cell_angle_beta 101.88
_cell_angle_gamma 90.00
loop_
_atom_site_label
_atom_site_type_symbol
_atom_site_fract_x
_atom_site_fract_y
_atom_site_fract_z
La1 La 0.1160 0.2500 0.0368
La2 La 0.2113 0.7500 0.3883
La3 La 0.3532 0.5134 0.7520
Al1 Al 0.2235 0.2500 0.4140
Ni1 Ni 0.3691 0.7500 0.0445



# PBE CaTl2MoBr, optimized geometry
# Energy relative to the elements, uncorrected (eV/atom): 0.31
data_CaTl2MoBr
_symmetry_space_group_name_H-M 'P 4/m m m'
_symmetry_Int_Tables_number 123
_symmetry_space_group_name_Hall '-P 4 2'
_cell_length_a 5.5028
_cell_length_b 5.5028
_cell_length_c 4.9686
_cell_angle_alpha 90.00
_cell_angle_beta 90.00
_cell_angle_gamma 90.00
loop_
_atom_site_label
_atom_site_type_symbol
_atom_site_fract_x
_atom_site_fract_y
_atom_site_fract_z
Ca1 Ca 0.0000 0.0000 0.0000
Tl1 Tl 0.0000 0.5000 0.5000
Mo1 Mo 0.5000 0.5000 0.5000
Br1 Br 0.5000 0.5000 0.0000



# PBE AlFeN2, optimized geometry
# Energy relative to the elements, uncorrected (eV/atom): -0.03
data_AlFeN2
_symmetry_space_group_name_H-M 'R -3 m'
_symmetry_Int_Tables_number 166
_symmetry_space_group_name_Hall '-R 3 2"'
_cell_length_a 2.9473
_cell_length_b 2.9473
_cell_length_c 16.9760
_cell_angle_alpha 90.00
_cell_angle_beta 90.00
_cell_angle_gamma 120.00
loop_
_atom_site_label
_atom_site_type_symbol
_atom_site_fract_x
_atom_site_fract_y
_atom_site_fract_z
Al1 Al 0.0000 0.0000 0.0000
Fe1 Fe 0.0000 0.0000 0.5000
N1 N 0.0000 0.0000 0.3958



# PBE Pa4SiAs3, optimized geometry
# Energy relative to the elements, uncorrected (eV/atom): -0.91
data_Pa4SiAs3
_symmetry_space_group_name_H-M 'P m -3 m'
_symmetry_Int_Tables_number 221
_symmetry_space_group_name_Hall '-P 4 2 3'
_cell_length_a 5.7833
_cell_length_b 5.7833
_cell_length_c 5.7833
_cell_angle_alpha 90.00
_cell_angle_beta 90.00
_cell_angle_gamma 90.00
loop_
_atom_site_label
_atom_site_type_symbol
_atom_site_fract_x
_atom_site_fract_y
_atom_site_fract_z
Pa1 Pa 0.0000 0.0000 0.0000
Pa2 Pa 0.0000 0.5000 0.5000
Si1 Si 0.5000 0.5000 0.5000
As1 As 0.0000 0.0000 0.5000



# PBE Li2Cr3, optimized geometry
# E above lowest polymorph (meV per atom): 51.7
# E_form (meV/atom): 622
data_Li2Cr3
_symmetry_space_group_name_H-M 'F d d d'
_symmetry_Int_Tables_number 70
_cell_length_a 2.5449
_cell_length_b 9.1512
_cell_length_c 21.3749
_cell_angle_alpha 90.00
_cell_angle_beta 90.00
_cell_angle_gamma 90.00
loop_
_symmetry_equiv_pos_as_xyz
'x,y,z'
'-x,-y,-z'
'-x+1/4,-y+1/4,z'
'x+1/4,y+1/4,-z'
'x,-y+1/4,-z+1/4'
'-x,y+1/4,z+1/4'
'-x+1/4,y,-z+1/4'
'x+1/4,-y,z+1/4'
'x,y+1/2,z+1/2'
'-x,-y+1/2,-z+1/2'
'-x+1/4,-y+3/4,z+1/2'
'x+1/4,y+3/4,-z+1/2'
'x,-y+3/4,-z+3/4'
'-x,y+3/4,z+3/4'
'-x+1/4,y+1/2,-z+3/4'
'x+1/4,-y+1/2,z+3/4'
'x+1/2,y,z+1/2'
'-x+1/2,-y,-z+1/2'
'-x+3/4,-y+1/4,z+1/2'
'x+3/4,y+1/4,-z+1/2'
'x+1/2,-y+1/4,-z+3/4'
'-x+1/2,y+1/4,z+3/4'
'-x+3/4,y,-z+3/4'
'x+3/4,-y,z+3/4'
'x+1/2,y+1/2,z'
'-x+1/2,-y+1/2,-z'
'-x+3/4,-y+3/4,z'
'x+3/4,y+3/4,-z'
'x+1/2,-y+3/4,-z+1/4'
'-x+1/2,y+3/4,z+1/4'
'-x+3/4,y+1/2,-z+1/4'
'x+3/4,-y+1/2,z+1/4'
loop_
_atom_site_label
_atom_site_type_symbol
_atom_site_fract_x
_atom_site_fract_y
_atom_site_fract_z
Li1 Li 0.1250 0.1250 0.3257
Cr1 Cr 0.1250 0.1250 0.1250
Cr2 Cr 0.1250 0.1250 0.5315



# PBE MnTcGe2, optimized geometry
# E above lowest polymorph (meV per atom): 16.3
# E_form (meV/atom): 19
data_MnTcGe2
_symmetry_space_group_name_H-M 'F m -3 m'
_symmetry_Int_Tables_number 225
_symmetry_space_group_name_Hall '-F 4 2 3'
_cell_length_a 6.0485
_cell_length_b 6.0485
_cell_length_c 6.0485
_cell_angle_alpha 90.00
_cell_angle_beta 90.00
_cell_angle_gamma 90.00
loop_
_atom_site_label
_atom_site_type_symbol
_atom_site_fract_x
_atom_site_fract_y
_atom_site_fract_z
Mn1 Mn 0.0000 0.0000 0.0000
Tc1 Tc 0.0000 0.0000 0.5000
Ge1 Ge 0.2500 0.2500 0.2500



# PBE Sc5Ga2Se2, optimized geometry
# Energy relative to the elements, uncorrected (eV/atom): -1.03
data_Sc5Ga2Se2
_symmetry_space_group_name_H-M 'C m c e'
_symmetry_Int_Tables_number 64
_symmetry_space_group_name_Hall '-C 2ac 2'
_cell_length_a 13.9386
_cell_length_b 7.1997
_cell_length_c 7.2203
_cell_angle_alpha 90.00
_cell_angle_beta 90.00
_cell_angle_gamma 90.00
loop_
_atom_site_label
_atom_site_type_symbol
_atom_site_fract_x
_atom_site_fract_y
_atom_site_fract_z
Sc1 Sc 0.0000 0.0000 0.0000
Sc2 Sc 0.1361 0.1684 0.3344
Ga1 Ga 0.0000 0.1290 0.6270
Se1 Se 0.2017 0.0000 0.0000



# PBE Ca16Mg12Pb, optimized geometry
# E_form (meV/atom): -75
data_Ca16Mg12Pb
_symmetry_space_group_name_H-M 'C 1 m 1'
_symmetry_Int_Tables_number 8
_symmetry_space_group_name_Hall 'C -2y'
_cell_length_a 12.3804
_cell_length_b 17.0066
_cell_length_c 10.8691
_cell_angle_alpha 90.00
_cell_angle_beta 124.59
_cell_angle_gamma 90.00
loop_
_atom_site_label
_atom_site_type_symbol
_atom_site_fract_x
_atom_site_fract_y
_atom_site_fract_z
Ca1 Ca 0.0000 0.0000 0.0000
Ca2 Ca 0.0029 0.3203 0.3338
Ca3 Ca 0.1118 0.1913 0.6467
Ca4 Ca 0.2210 0.5000 0.0179
Ca5 Ca 0.2774 0.0000 0.6553
Ca6 Ca 0.2896 0.3780 0.3390
Ca7 Ca 0.3081 0.2977 0.0123
Ca8 Ca 0.3281 0.0000 0.3398
Ca9 Ca 0.3701 0.3491 0.7277
Ca10 Ca 0.4804 0.1549 0.9208
Mg1 Mg 0.0070 0.5000 0.1491
Mg2 Mg 0.0490 0.0935 0.3127
Mg3 Mg 0.0784 0.4051 0.6820
Mg4 Mg 0.1462 0.1877 0.1469
Mg5 Mg 0.1725 0.5000 0.5067
Mg6 Mg 0.2389 0.0917 0.9737
Mg7 Mg 0.3122 0.1878 0.5045
Pb1 Pb 0.4992 0.5000 0.6554



# PBE AcYAl2Ga2, optimized geometry
# E_form (meV/atom): -555
data_AcYAl2Ga2
_symmetry_space_group_name_H-M 'P -3 m 1'
_symmetry_Int_Tables_number 164
_symmetry_space_group_name_Hall '-P 3 2"'
_cell_length_a 4.3489
_cell_length_b 4.3489
_cell_length_c 8.8535
_cell_angle_alpha 90.00
_cell_angle_beta 90.00
_cell_angle_gamma 120.00
loop_
_atom_site_label
_atom_site_type_symbol
_atom_site_fract_x
_atom_site_fract_y
_atom_site_fract_z
Ac1 Ac 0.0000 0.0000 0.0000
Y1 Y 0.0000 0.0000 0.5000
Al1 Al 0.3333 0.6667 0.7297
Ga1 Ga 0.3333 0.6667 0.2765



# PBE BaPrSn2, optimized geometry
# E above lowest polymorph (meV per atom): 0.0
# E_form (meV/atom): -691
data_BaPrSn2
_symmetry_space_group_name_H-M 'C m c m'
_symmetry_Int_Tables_number 63
_symmetry_space_group_name_Hall '-C 2c 2'
_cell_length_a 5.1777
_cell_length_b 14.1714
_cell_length_c 7.5418
_cell_angle_alpha 90.00
_cell_angle_beta 90.00
_cell_angle_gamma 90.00
loop_
_atom_site_label
_atom_site_type_symbol
_atom_site_fract_x
_atom_site_fract_y
_atom_site_fract_z
Ba1 Ba 0.0000 0.0550 0.2500
Pr1 Pr 0.0000 0.2225 0.7500
Sn1 Sn 0.0000 0.3869 0.0570



# PBE CaGeSb3, optimized geometry
# E above lowest polymorph (meV per atom): 0.0
# Energy relative to the elements, uncorrected (eV/atom): 0.17
data_CaGeSb3
_symmetry_space_group_name_H-M 'P m -3 m'
_symmetry_Int_Tables_number 221
_symmetry_space_group_name_Hall '-P 4 2 3'
_cell_length_a 5.4115
_cell_length_b 5.4115
_cell_length_c 5.4115
_cell_angle_alpha 90.00
_cell_angle_beta 90.00
_cell_angle_gamma 90.00
loop_
_atom_site_label
_atom_site_type_symbol
_atom_site_fract_x
_atom_site_fract_y
_atom_site_fract_z
Ca1 Ca 0.0000 0.0000 0.0000
Ge1 Ge 0.5000 0.5000 0.5000
Sb1 Sb 0.0000 0.5000 0.5000



# PBE NdGa2Hg, optimized geometry
# E above lowest polymorph (meV per atom): 539.3
# E_form (meV/atom): 109
data_NdGa2Hg
_symmetry_space_group_name_H-M 'R -3 m'
_symmetry_Int_Tables_number 166
_symmetry_space_group_name_Hall '-R 3 2"'
_cell_length_a 5.0857
_cell_length_b 5.0857
_cell_length_c 18.2819
_cell_angle_alpha 90.00
_cell_angle_beta 90.00
_cell_angle_gamma 120.00
loop_
_atom_site_label
_atom_site_type_symbol
_atom_site_fract_x
_atom_site_fract_y
_atom_site_fract_z
Nd1 Nd 0.0000 0.0000 0.0000
Ga1 Ga 0.0000 0.0000 0.3560
Hg1 Hg 0.0000 0.0000 0.5000



# PBE Ho2ThFe, optimized geometry
# E above lowest polymorph (meV per atom): 592.0
# E_form (meV/atom): 491
data_Ho2ThFe
_symmetry_space_group_name_H-M 'R -3 m'
_symmetry_Int_Tables_number 166
_symmetry_space_group_name_Hall '-R 3 2"'
_cell_length_a 5.2278
_cell_length_b 5.2278
_cell_length_c 12.7660
_cell_angle_alpha 90.00
_cell_angle_beta 90.00
_cell_angle_gamma 120.00
loop_
_atom_site_label
_atom_site_type_symbol
_atom_site_fract_x
_atom_site_fract_y
_atom_site_fract_z
Ho1 Ho 0.0000 0.0000 0.2504
Th1 Th 0.0000 0.0000 0.0000
Fe1 Fe 0.0000 0.0000 0.5000



# PBE SmDyTlGe, optimized geometry
# E_form (meV/atom): -437
data_SmDyTlGe
_symmetry_space_group_name_H-M 'F -4 3 m'
_symmetry_Int_Tables_number 216
_symmetry_space_group_name_Hall 'F -4 2 3'
_cell_length_a 7.4475
_cell_length_b 7.4475
_cell_length_c 7.4475
_cell_angle_alpha 90.00
_cell_angle_beta 90.00
_cell_angle_gamma 90.00
loop_
_atom_site_label
_atom_site_type_symbol
_atom_site_fract_x
_atom_site_fract_y
_atom_site_fract_z
Sm1 Sm 0.0000 0.0000 0.0000
Dy1 Dy 0.0000 0.0000 0.5000
Tl1 Tl 0.2500 0.2500 0.2500
Ge1 Ge 0.2500 0.2500 0.7500



# PBE LiTaGa6, optimized geometry
# E_form (meV/atom): 61
data_LiTaGa6
_symmetry_space_group_name_H-M 'C 1 2/m 1'
_symmetry_Int_Tables_number 12
_symmetry_space_group_name_Hall '-C 2y'
_cell_length_a 7.6492
_cell_length_b 5.8164
_cell_length_c 6.7497
_cell_angle_alpha 90.00
_cell_angle_beta 104.00
_cell_angle_gamma 90.00
loop_
_atom_site_label
_atom_site_type_symbol
_atom_site_fract_x
_atom_site_fract_y
_atom_site_fract_z
Li1 Li 0.0000 0.0000 0.0000
Ta1 Ta 0.0000 0.0000 0.5000
Ga1 Ga 0.1322 0.5000 0.4101
Ga2 Ga 0.1827 0.2771 0.8040



# PBE LaTb5Er3, optimized geometry
# E above lowest polymorph (meV per atom): 0.0
# E_form (meV/atom): 187
data_LaTb5Er3
_symmetry_space_group_name_H-M 'C 1 2/c 1'
_symmetry_Int_Tables_number 15
_symmetry_space_group_name_Hall '-C 2yc'
_cell_length_a 16.1540
_cell_length_b 6.7095
_cell_length_c 11.4408
_cell_angle_alpha 90.00
_cell_angle_beta 107.79
_cell_angle_gamma 90.00
loop_
_atom_site_label
_atom_site_type_symbol
_atom_site_fract_x
_atom_site_fract_y
_atom_site_fract_z
La1 La 0.0000 0.2279 0.2500
Tb1 Tb 0.0000 0.3181 0.7500
Tb2 Tb 0.1086 0.4942 0.5458
Tb3 Tb 0.1762 0.1183 0.8751
Er1 Er 0.0000 0.0000 0.0000
Er2 Er 0.2397 0.3822 0.3572



# PBE MnCd2Ni, optimized geometry
# E above lowest polymorph (meV per atom): 110.8
# E_form (meV/atom): 183
data_MnCd2Ni
_symmetry_space_group_name_H-M 'I -4 m 2'
_symmetry_Int_Tables_number 119
_symmetry_space_group_name_Hall 'I -4 -2'
_cell_length_a 4.1360
_cell_length_b 4.1360
_cell_length_c 7.7727
_cell_angle_alpha 90.00
_cell_angle_beta 90.00
_cell_angle_gamma 90.00
loop_
_atom_site_label
_atom_site_type_symbol
_atom_site_fract_x
_atom_site_fract_y
_atom_site_fract_z
Mn1 Mn 0.0000 0.0000 0.0000
Cd1 Cd 0.0000 0.0000 0.5000
Cd2 Cd 0.0000 0.5000 0.2500
Ni1 Ni 0.0000 0.5000 0.7500